Record 1
Density functional theory data (PBE) for an optimized crystal structure of NaCrSiBr2.

Results
- Energy above the lowest structure with this stoichiometry: 0.000 eV per atom
- Total magnetic moment: 5.36 μB per formula unit
- DFT total energy: -17.20 eV for the cell shown
- Uncorrected formation energy: 0.503 eV/atom

Lattice parameters (Å, degrees): 5.380 5.380 5.573 90.00 90.00 90.00
Sites, in units of the cell vectors:
Na 0.000 0.000 0.000
Cr 0.500 0.500 0.000
Si 0.000 0.000 0.500
Br 0.000 0.500 0.500
Br 0.500 0.000 0.500

=====

Record 2
Density functional theory data (PBE) for an optimized crystal structure of Zr2AlSi.

Results
- Energy above the lowest structure with this stoichiometry: 0.461 eV per atom
- Total magnetic moment: 0.00 μB per formula unit
- DFT total energy: -27.36 eV for the cell shown
- Uncorrected formation energy: -0.273 eV/atom

Lattice parameters (Å, degrees): 4.738 4.738 4.738 60.00 60.00 60.00
Sites, in units of the cell vectors:
Zr 0.250 0.250 0.250
Zr 0.750 0.750 0.750
Al 0.000 0.000 0.000
Si 0.500 0.500 0.500

=====

Record 3
Density functional theory data (PBE) for an optimized crystal structure of AcThMgPb.

Results
- Total magnetic moment: 0.00 μB per formula unit
- DFT total energy: -17.21 eV for the cell shown
- DFT formation energy: -95 meV/atom

Lattice parameters (Å, degrees): 5.682 5.682 5.682 60.00 60.00 60.00
Sites, in units of the cell vectors:
Ac 0.000 0.000 0.000
Th 0.500 0.500 0.500
Mg 0.750 0.750 0.750
Pb 0.250 0.250 0.250

=====

Record 4
Density functional theory data (PBE) for an optimized crystal structure of Pt8Rh6Au.

Results
- Total magnetic moment: 0.00 μB per formula unit
- DFT total energy: -92.21 eV for the cell shown
- DFT formation energy: 233 meV/atom

Lattice parameters (Å, degrees): 10.140 10.140 2.732 90.00 90.00 120.00
Sites, in units of the cell vectors:
Pt 0.083 0.790 0.270
Pt 0.210 0.293 0.270
Pt 0.293 0.083 0.730
Pt 0.333 0.667 0.749
Pt 0.667 0.333 0.251
Pt 0.707 0.917 0.270
Pt 0.790 0.707 0.730
Pt 0.917 0.210 0.730
Rh 0.091 0.470 0.246
Rh 0.379 0.909 0.246
Rh 0.470 0.379 0.754
Rh 0.530 0.621 0.246
Rh 0.621 0.091 0.754
Rh 0.909 0.530 0.754
Au 0.000 0.000 0.000

=====

Record 5
Density functional theory data (PBE) for an optimized crystal structure of La2PmTm.

Results
- Energy above the lowest structure with this stoichiometry: 0.000 eV per atom
- Total magnetic moment: 0.00 μB per formula unit
- DFT total energy: -19.02 eV for the cell shown
- DFT formation energy: 15 meV/atom

Lattice parameters (Å, degrees): 5.192 5.192 5.101 90.00 90.00 90.00
Sites, in units of the cell vectors:
La 0.000 0.500 0.000
La 0.500 0.000 0.000
Pm 0.000 0.000 0.500
Tm 0.500 0.500 0.500

=====

Record 6
Density functional theory data (PBE) for an optimized crystal structure of MgBePd.

Results
- Energy above the lowest structure with this stoichiometry: 0.000 eV per atom
- Total magnetic moment: 0.00 μB per formula unit
- DFT total energy: -11.69 eV for the cell shown
- DFT formation energy: -393 meV/atom

Lattice parameters (Å, degrees): 5.118 5.118 5.118 145.56 145.56 49.50
Sites, in units of the cell vectors:
Mg 0.000 0.000 0.000
Be 0.699 0.699 0.000
Pd 0.303 0.303 0.000

=====

Record 7
Density functional theory data (PBE) for an optimized crystal structure of CrTeW2.

Results
- Total magnetic moment: 0.00 μB per formula unit
- DFT total energy: -35.94 eV for the cell shown
- Uncorrected formation energy: 0.684 eV/atom

Lattice parameters (Å, degrees): 3.011 4.375 5.230 90.00 104.37 90.00
Sites, in units of the cell vectors:
Cr 0.000 0.000 0.000
Te 0.999 0.500 0.262
W 0.316 0.500 0.790
W 0.565 0.000 0.542

=====

Record 8
Density functional theory data (PBE) for an optimized crystal structure of Rb8Cl3O2.

Results
- Total magnetic moment: 0.62 μB per formula unit
- DFT total energy: -39.88 eV for the cell shown
- Uncorrected formation energy: -1.283 eV/atom

Lattice parameters (Å, degrees): 9.189 9.189 8.094 105.56 105.56 57.45
Sites, in units of the cell vectors:
Rb 0.086 0.616 0.198
Rb 0.136 0.136 0.216
Rb 0.356 0.356 0.817
Rb 0.384 0.914 0.802
Rb 0.616 0.086 0.198
Rb 0.644 0.644 0.183
Rb 0.864 0.864 0.784
Rb 0.914 0.384 0.802
Cl 0.000 0.000 0.500
Cl 0.254 0.746 0.000
Cl 0.746 0.254 0.000
O 0.250 0.250 0.013
O 0.750 0.750 0.987

=====

> What is the total magnetic moment in the third record?

0.00 μB per formula unit